Record 1
An optimized crystal structure of ReOF3. Source: Alexandria, functional PBE.

As for the energy relative to the lowest polymorph listed for this composition: 2.634 eV/atom. The space group is Pm-3m. The calculation puts the formation energy without anion corrections at 0.75 eV/atom. The calculation puts the magnetization at 5.30 μB/f.u. The density of states at the Fermi level comes out at 1.68 states/eV/f.u.

a b c (Å): 3.9537 3.9537 3.9537
angles (deg): 90.00 90.00 90.00
Last column: magnetic moment on the atom in μB.
Element x y z (fractional)
F  0.5000  0.0000  0.0000  0.08
O  0.0000  0.0000  0.0000  0.17
Re  0.5000  0.5000  0.5000  4.23
F  0.0000  0.0000  0.5000  0.04
F  0.0000  0.5000  0.0000  0.10

=====

Record 2
An optimized crystal structure of Ho5SbRu2. Source: Alexandria, functional PBE.

The space group is I4/mcm. The calculation puts the formation energy without anion corrections at -0.56 eV/atom. The calculation puts the magnetization at 0.00 μB/f.u. The density of states at the Fermi level comes out at 6.51 states/eV/f.u.

a b c (Å): 7.6953 7.6953 8.6474
angles (deg): 116.42 116.42 90.00
Element x y z (fractional)
Sb  0.7500  0.7500  0.5000
Ho  0.0000  0.0000  0.0000
Ru  0.6406  0.1406  0.0000
Ho  0.0225  0.5225  0.7320
Ru  0.1406  0.3594  0.0000
Ru  0.3594  0.8594  0.0000
Ho  0.5000  0.5000  0.0000
Ru  0.8594  0.6406  0.0000
Ho  0.9775  0.4775  0.2680
Ho  0.7905  0.9775  0.2680
Ho  0.2905  0.7905  0.2680
Ho  0.4775  0.2905  0.2680
Ho  0.5225  0.7095  0.7320
Ho  0.7095  0.2095  0.7320
Sb  0.2500  0.2500  0.5000
Ho  0.2095  0.0225  0.7320

=====

Record 3
An optimized crystal structure of K2TbZrS4. Source: Alexandria, functional PBE.

The space group is P2/m. The calculation puts the formation energy without anion corrections at -1.66 eV/atom. The calculation puts the magnetization at 0.00 μB/f.u. The density of states at the Fermi level comes out at 3.13 states/eV/f.u.

a b c (Å): 3.8981 6.8101 7.7356
angles (deg): 106.79 90.00 90.00
Element x y z (fractional)
Tb  0.0000  0.0000  0.0000
S  0.5000  0.7529  0.7960
S  0.0000  0.7221  0.1999
K  0.0000  0.5000  0.5000
S  0.5000  0.2471  0.2040
Zr  0.5000  0.5000  0.0000
K  0.5000  0.0000  0.5000
S  0.0000  0.2779  0.8001

=====

Record 4
An optimized crystal structure of Ca7Bi3N2. Source: Alexandria, functional PBE.

As for the energy relative to the lowest polymorph listed for this composition: 0.000 eV/atom. The space group is I4/mmm. The calculation puts the formation energy without anion corrections at -0.96 eV/atom. The calculation puts the magnetization at 0.00 μB/f.u. The density of states at the Fermi level comes out at 3.35 states/eV/f.u.

a b c (Å): 4.8857 4.8857 13.5339
angles (deg): 100.40 100.40 90.00
Element x y z (fractional)
Ca  0.5952  0.0952  0.1903
N  0.0948  0.0948  0.1896
Ca  0.4048  0.9048  0.8097
Bi  0.3169  0.3169  0.6337
N  0.9052  0.9052  0.8104
Ca  0.8092  0.8092  0.6183
Bi  0.6831  0.6831  0.3663
Ca  0.0952  0.5952  0.1903
Ca  0.9048  0.4048  0.8097
Bi  0.5000  0.5000  0.0000
Ca  0.1908  0.1908  0.3817
Ca  0.0000  0.0000  0.0000

=====

Which of these has the lowest formation energy without anion corrections? K2TbZrS4